Record 1
First-principles (PBE-GGA) data for crystalline TaTc2Ni at its relaxed geometry, as listed in the Alexandria database.

The magnetic moment is 0.00 μB/cell. The calculated formation energy is 0.087 eV per atom. The calculation puts the density of states at the Fermi level at 2.2 states/eV/f.u.

The structure belongs to space group R3m (No. 160, hexagonal axes); the cell edges are 2.7588, 2.7588 and 26.9201 Å and the angles 90.00°, 90.00° and 120.00°. The asymmetric unit holds Ta at (0.0000, 0.0000, 0.0000), Tc at (0.0000, 0.0000, 0.5047), Tc at (0.0000, 0.0000, 0.7596) and Ni at (0.0000, 0.0000, 0.2519).

---

Record 2
First-principles (PBE-GGA) data for crystalline TaTc2Ni at its relaxed geometry, as listed in the Alexandria database.

The magnetic moment is 0.00 μB/cell. The calculated formation energy is 0.000 eV per atom. The calculation puts the density of states at the Fermi level at 3.5 states/eV/f.u.

The structure belongs to space group Pm (No. 6); the cell edges are 2.696, 4.272 and 5.243 Å and the angles 90.00°, 103.01° and 90.00°. The asymmetric unit holds Ta at (0.000, 0.000, 0.000), Tc at (0.494, 0.000, 0.504), Tc at (0.790, 0.500, 0.271) and Ni at (0.157, 0.500, 0.768).

---

Record 3
First-principles (PBE-GGA) data for crystalline Ta2TcNi2 at its relaxed geometry, as listed in the Alexandria database.

The magnetic moment is 0.00 μB/cell. The calculated formation energy is -0.164 eV per atom. The calculation puts the density of states at the Fermi level at 6.2 states/eV/f.u.

The structure belongs to space group P4/mbm (No. 127); the cell edges are 6.744, 6.744 and 3.200 Å and the angles 90.00°, 90.00° and 90.00°. The asymmetric unit holds Ta at (0.180, 0.320, 0.000), Tc at (0.000, 0.000, 0.500) and Ni at (0.121, 0.621, 0.500).

---

In order of appearance, calculated total energy = -9.5043, -9.5917, -9.2907 eV/atom.